Entry 1:
KPu2Se3 | PBE | optimized geometry

Properties
space-group type	P6_3/mmc (194)
formation energy (no corrections)	-1.50	eV/atom
E	-49.21	eV/f.u.
Fermi-level density of states	3.57	states/eV/atom
mass density	7.4	Mg/m³

Cell: 4.237 4.237 22.199 Å, 90.00 90.00 120.00°
Positions (direct):
K  0.000  0.000  0.250
K  0.000  0.000  0.750
Pu  0.333  0.667  0.078
Pu  0.333  0.667  0.422
Pu  0.667  0.333  0.578
Pu  0.667  0.333  0.922
Se  0.000  0.000  0.000
Se  0.000  0.000  0.500
Se  0.333  0.667  0.648
Se  0.333  0.667  0.852
Se  0.667  0.333  0.148
Se  0.667  0.333  0.352

Entry 2:
KPuSe4 | PBE | optimized geometry

Properties
space-group type	P4/nbm (125)
formation energy (no corrections)	-0.99	eV/atom
E	-35.31	eV/f.u.
Fermi-level density of states	1.84	states/eV/atom
mass density	6.0	Mg/m³

Cell: 6.279 6.279 8.441 Å, 90.00 90.00 90.00°
Positions (direct):
K  0.250  0.250  0.000
K  0.750  0.750  0.000
Pu  0.250  0.250  0.500
Pu  0.750  0.750  0.500
Se  0.112  0.612  0.292
Se  0.112  0.888  0.708
Se  0.388  0.612  0.708
Se  0.388  0.888  0.292
Se  0.612  0.112  0.708
Se  0.612  0.388  0.292
Se  0.888  0.112  0.292
Se  0.888  0.388  0.708

Entry 3:
KPu6Se8 | PBE | optimized geometry

Properties
space-group type	P-3 (147)
formation energy (no corrections)	-0.72	eV/atom
E	-125.73	eV/f.u.
Fermi-level density of states	1.06	states/eV/atom
mass density	10.5	Mg/m³

Cell: 10.422 10.422 3.600 Å, 90.00 90.00 120.00°
Positions (direct):
K  0.000  0.000  0.000
Pu  0.072  0.583  0.751
Pu  0.417  0.488  0.751
Pu  0.488  0.072  0.249
Pu  0.512  0.928  0.751
Pu  0.583  0.512  0.249
Pu  0.928  0.417  0.249
Se  0.096  0.330  0.741
Se  0.234  0.904  0.741
Se  0.330  0.234  0.259
Se  0.333  0.667  0.249
Se  0.667  0.333  0.751
Se  0.670  0.766  0.741
Se  0.766  0.096  0.259
Se  0.904  0.670  0.259

Entry 4:
K3PuSe3 | PBE | optimized geometry

Properties
space-group type	C2/m (12)
formation energy (no corrections)	-1.19	eV/atom
E	-36.38	eV/f.u.
Fermi-level density of states	1.54	states/eV/atom
mass density	3.7	Mg/m³

Cell: 8.504 8.504 8.273 Å, 94.35 94.35 114.06°
Positions (direct):
K  0.178  0.822  0.000
K  0.244  0.756  0.500
K  0.381  0.381  0.130
K  0.619  0.619  0.870
K  0.756  0.244  0.500
K  0.822  0.178  0.000
Pu  0.193  0.193  0.634
Pu  0.807  0.807  0.366
Se  0.093  0.093  0.293
Se  0.169  0.479  0.779
Se  0.479  0.169  0.779
Se  0.521  0.831  0.221
Se  0.831  0.521  0.221
Se  0.907  0.907  0.707

Entry 5:
K2Pu3Se6 | PBE | optimized geometry

Properties
space-group type	C2/m (12)
formation energy (no corrections)	-1.44	eV/atom
E	-81.98	eV/f.u.
Fermi-level density of states	2.78	states/eV/atom
mass density	6.0	Mg/m³

Cell: 7.298 7.298 8.132 Å, 98.60 98.60 119.99°
Positions (direct):
K  0.167  0.833  0.000
K  0.833  0.167  0.000
Pu  0.000  0.000  0.500
Pu  0.334  0.666  0.500
Pu  0.666  0.334  0.500
Se  0.065  0.399  0.698
Se  0.266  0.266  0.302
Se  0.399  0.065  0.698
Se  0.601  0.935  0.302
Se  0.734  0.734  0.698
Se  0.935  0.601  0.302

Entry 6:
KPuSe | PBE | optimized geometry

Properties
space-group type	Cmce (64)
formation energy (no corrections)	-0.54	eV/atom
E	-20.54	eV/f.u.
Fermi-level density of states	4.15	states/eV/atom
mass density	4.5	Mg/m³

Cell: 8.117 8.117 8.383 Å, 90.00 90.00 74.70°
Positions (direct):
K  0.187  0.187  0.000
K  0.313  0.313  0.500
K  0.687  0.687  0.500
K  0.813  0.813  0.000
Pu  0.133  0.867  0.580
Pu  0.367  0.633  0.080
Pu  0.633  0.367  0.920
Pu  0.867  0.133  0.420
Se  0.115  0.885  0.237
Se  0.385  0.615  0.737
Se  0.615  0.385  0.263
Se  0.885  0.115  0.763

Look up the formation energy (no corrections) of the third one.
-0.72 eV/atom

Which value of E does entry 3 give?
-125.73 eV/f.u.

What is the E in the fourth record?
-36.38 eV/f.u.